Entry 1:
VASP calculation (PBE-GGA) on crystalline Ba3Sb at its relaxed geometry.

Computed properties:
* uncorrected formation energy: -0.487 eV/atom
* SG: P6_3/mmc, No. 194
* distance to the lowest polymorph of the same formula: 0.1174 eV/atom
* E_tot: -2.9599 eV per atom

Lattice parameters (Å, degrees): 7.879 7.879 12.698 90.00 90.00 120.00
Element x y z (fractional)
Sb (0.000, 0.000, 0.000)
Sb (0.000, 0.000, 0.500)
Sb (0.333, 0.667, 0.250)
Sb (0.667, 0.333, 0.750)
Ba (0.500, 0.000, 0.000)
Ba (0.500, 0.000, 0.500)
Ba (0.000, 0.500, 0.000)
Ba (0.500, 0.500, 0.000)
Ba (0.500, 0.500, 0.500)
Ba (0.000, 0.500, 0.500)
Ba (0.843, 0.686, 0.250)
Ba (0.157, 0.314, 0.750)
Ba (0.314, 0.157, 0.250)
Ba (0.843, 0.157, 0.250)
Ba (0.157, 0.843, 0.750)
Ba (0.686, 0.843, 0.750)


Entry 2:
VASP calculation (PBE-GGA) on crystalline Pm2ThPt2 at its relaxed geometry.

Computed properties:
* SG: Ibam, No. 72
* E_tot: -6.5882 eV per atom

Lattice parameters (Å, degrees): 6.525 7.504 7.504 64.62 64.23 64.23
Element x y z (fractional)
Pm (0.350, 0.283, 0.018)
Pm (0.650, 0.717, 0.982)
Pm (0.150, 0.982, 0.717)
Pm (0.850, 0.018, 0.283)
Th (0.250, 0.500, 0.500)
Th (0.750, 0.500, 0.500)
Pt (0.108, 0.664, 0.120)
Pt (0.892, 0.336, 0.880)
Pt (0.392, 0.880, 0.336)
Pt (0.608, 0.120, 0.664)


Entry 3:
VASP calculation (PBE-GGA) on crystalline NaGaReB2 at its relaxed geometry.

Computed properties:
* SG: P4/mmm, No. 123
* E_tot: -3.1352 eV per atom

Lattice parameters (Å, degrees): 4.090 5.025 4.090 90.00 90.00 90.00
Element x y z (fractional)
Re (0.000, 0.500, 0.000)
B (0.000, 0.000, 0.500)
B (0.500, 0.000, 0.000)
Ga (0.500, 0.500, 0.500)
Na (0.000, 0.000, 0.000)


Entry 4:
VASP calculation (PBE-GGA) on crystalline PuAgTeBr at its relaxed geometry.

Computed properties:
* uncorrected formation energy: -0.791 eV/atom
* SG: R-3m, No. 166
* E_tot: -6.2908 eV per atom

Lattice parameters (Å, degrees): 4.504 4.504 14.281 80.93 80.93 60.00
Site moments in Bohr magnetons follow the coordinates.
Element x y z (fractional)
Pu (0.592, 0.592, 0.224)  -5.70
Pu (0.408, 0.408, 0.776)  -5.70
Ag (0.813, 0.813, 0.561)  -0.01
Ag (0.187, 0.187, 0.439)  -0.01
Te (0.118, 0.118, 0.646)  0.04
Te (0.882, 0.882, 0.354)  0.04
Br (0.705, 0.705, 0.885)  0.04
Br (0.295, 0.295, 0.115)  0.04


Entry 5:
VASP calculation (PBE-GGA) on crystalline PaAlTcRu at its relaxed geometry.

Computed properties:
* SG: Pmmm, No. 47
* distance to the lowest polymorph of the same formula: 0.0000 eV/atom
* E_tot: -8.7740 eV per atom

Lattice parameters (Å, degrees): 3.516 4.397 4.407 90.00 90.00 90.00
Element x y z (fractional)
Pa (0.000, 0.500, 0.500)
Al (0.000, 0.000, 0.000)
Tc (0.500, 0.000, 0.500)
Ru (0.500, 0.500, 0.000)


Entry 6:
VASP calculation (PBE-GGA) on crystalline LiAl3Cr at its relaxed geometry.

Computed properties:
* SG: Pm-3m, No. 221
* distance to the lowest polymorph of the same formula: 0.0000 eV/atom
* E_tot: -4.2054 eV per atom

Lattice parameters (Å, degrees): 4.694 4.694 4.694 90.00 90.00 90.00
Site moments in Bohr magnetons follow the coordinates.
Element x y z (fractional)
Cr (0.000, 0.000, 0.000)  1.10
Al (0.000, 0.500, 0.000)  0.00
Al (0.000, 0.000, 0.500)  0.01
Al (0.500, 0.000, 0.000)  -0.03
Li (0.500, 0.500, 0.500)  -0.01


Entry 7:
VASP calculation (PBE-GGA) on crystalline CrTc3 at its relaxed geometry.

Computed properties:
* SG: Cmmm, No. 65
* E_tot: -10.0242 eV per atom

Lattice parameters (Å, degrees): 4.671 4.671 2.719 90.00 90.00 109.00
Element x y z (fractional)
Cr (0.000, 0.000, 0.000)
Tc (0.000, 0.500, 0.500)
Tc (0.500, 0.000, 0.500)
Tc (0.500, 0.500, 0.000)


Entry 8:
VASP calculation (PBE-GGA) on crystalline Hg3PdSe at its relaxed geometry.

Computed properties:
* uncorrected formation energy: 0.261 eV/atom
* SG: Pm-3m, No. 221
* distance to the lowest polymorph of the same formula: 0.0000 eV/atom
* E_tot: -1.6554 eV per atom

Lattice parameters (Å, degrees): 5.240 5.240 5.240 90.00 90.00 90.00
Site moments in Bohr magnetons follow the coordinates.
Element x y z (fractional)
Se (0.500, 0.500, 0.500)  0.54
Hg (0.000, 0.500, 0.000)  0.04
Hg (0.000, 0.000, 0.500)  0.01
Hg (0.500, 0.000, 0.000)  0.05
Pd (0.000, 0.000, 0.000)  0.01


Question: What is the E_tot in the third record?
Answer: -3.1352 eV per atom


Question: Look up the E_tot of the eighth one.
Answer: -1.6554 eV per atom


Question: The lowest E_tot belongs to which entry?
Answer: CrTc3


Question: E_tot of number 6 (LiAl3Cr)?
Answer: -4.2054 eV per atom